1.
The following is a GGA-PBEsol calculation of a relaxed Li2ZnOs crystal, from Alexandria.

Cell: 3.5636 3.5636 4.0519 Å, 90.00 90.00 90.00°
Fractional coordinates of all 4 atoms:
Li: 0.0000 0.5000 0.0000
Li: 0.5000 0.0000 0.0000
Zn: 0.0000 0.0000 0.5000
Os: 0.5000 0.5000 0.5000

As for the formation energy: 0.2178 eV per atom. The value obtained for the total energy is -4.2150 eV/atom.



2.
The following is a GGA-PBEsol calculation of a relaxed LiZnOs crystal, from Alexandria.

Cell: 2.6039 2.6039 6.8524 Å, 96.29 96.29 115.03°
Fractional coordinates of all 3 atoms:
Li: 0.9981 0.9981 0.9962
Os: 0.3345 0.3345 0.6690
Zn: 0.6674 0.6674 0.3347

As for the formation energy: 0.1493 eV per atom. The value obtained for the total energy is -5.1055 eV/atom.



3.
The following is a GGA-PBEsol calculation of a relaxed Li2ZrOs crystal, from Alexandria.

Cell: 3.3469 3.3469 5.2000 Å, 90.00 90.00 90.00°
Fractional coordinates of all 4 atoms:
Li: 0.0000 0.0000 0.7944
Li: 0.0000 0.0000 0.2056
Os: 0.5000 0.5000 0.0000
Zr: 0.5000 0.5000 0.5000

As for the formation energy: 0.3550 eV per atom. The value obtained for the total energy is -5.9548 eV/atom.



4.
The following is a GGA-PBEsol calculation of a relaxed Li2ZrOs crystal, from Alexandria.

Cell: 3.7204 3.7204 5.2536 Å, 110.74 110.74 90.00°
Fractional coordinates of all 4 atoms:
Zr: 0.0000 0.0000 0.0000
Os: 0.5000 0.5000 0.0000
Li: 0.2500 0.7500 0.5000
Li: 0.7500 0.2500 0.5000

As for the formation energy: 0.0778 eV per atom. The value obtained for the total energy is -6.2320 eV/atom.



5.
The following is a GGA-PBEsol calculation of a relaxed Li2ZrOs crystal, from Alexandria.

Cell: 2.6089 2.6089 9.5534 Å, 90.00 90.00 90.00°
Fractional coordinates of all 4 atoms:
Zr: 0.5000 0.5000 0.5000
Os: 0.5000 0.5000 0.0000
Li: 0.0000 0.0000 0.7835
Li: 0.0000 0.0000 0.2165

As for the formation energy: 0.4491 eV per atom. The value obtained for the total energy is -5.8607 eV/atom.



6.
The following is a GGA-PBEsol calculation of a relaxed LiZrOs3 crystal, from Alexandria.

Cell: 4.7979 4.7979 4.7979 Å, 90.00 90.00 90.00°
Fractional coordinates of all 5 atoms:
Os: 0.5000 0.0000 0.0000
Os: 0.0000 0.0000 0.5000
Os: 0.0000 0.5000 0.0000
Zr: 0.0000 0.0000 0.0000
Li: 0.5000 0.5000 0.5000

As for the formation energy: 2.3681 eV per atom. The value obtained for the total energy is -7.1727 eV/atom.



7.
The following is a GGA-PBEsol calculation of a relaxed LiP7 crystal, from Alexandria.

Cell: 11.8870 11.8870 11.8870 Å, 75.40 68.04 111.96°
Fractional coordinates of all 64 atoms:
Li: 0.2423 0.8712 0.6288
Li: 0.5000 0.6288 0.1288
Li: 0.7423 0.1212 0.8788
Li: 0.5000 0.3712 0.8712
Li: 0.0000 0.8788 0.3788
Li: 0.2577 0.3788 0.6212
Li: 0.7577 0.1288 0.3712
Li: 0.0000 0.6212 0.1212
P: 0.1175 0.4849 0.0425
P: 0.9726 0.2651 0.1174
P: 0.2949 0.3750 0.8301
P: 0.2580 0.2831 0.1215
P: 0.1283 0.2066 0.0355
P: 0.7420 0.6215 0.7831
P: 0.2420 0.9669 0.1285
P: 0.2421 0.0355 0.8362
P: 0.4045 0.7831 0.4749
P: 0.7421 0.3283 0.0434
P: 0.4726 0.6326 0.4849
P: 0.7051 0.8750 0.9199
P: 0.7579 0.9217 0.2066
P: 0.1283 0.4217 0.3362
P: 0.3825 0.1174 0.9100
P: 0.9045 0.1295 0.6285
P: 0.8825 0.8400 0.6326
P: 0.9045 0.2751 0.9669
P: 0.0955 0.1285 0.6295
P: 0.5955 0.1205 0.6215
P: 0.2579 0.5434 0.8283
P: 0.7420 0.6205 0.9749
P: 0.7949 0.3750 0.3301
P: 0.7949 0.9199 0.3750
P: 0.2579 0.2145 0.4138
P: 0.0274 0.6174 0.7651
P: 0.6283 0.7145 0.5434
P: 0.7580 0.6285 0.4669
P: 0.7421 0.9138 0.7145
P: 0.3717 0.0434 0.2145
P: 0.2051 0.8301 0.8750
P: 0.2420 0.7751 0.1295
P: 0.0274 0.9100 0.7075
P: 0.8717 0.5355 0.7066
P: 0.5274 0.9849 0.1326
P: 0.8717 0.8362 0.9217
P: 0.6283 0.4138 0.3283
P: 0.3717 0.8283 0.9138
P: 0.5955 0.9749 0.2831
P: 0.2051 0.8750 0.4199
P: 0.5274 0.0425 0.8400
P: 0.9726 0.2075 0.4100
P: 0.3825 0.7651 0.2075
P: 0.4726 0.3400 0.5425
P: 0.7051 0.3301 0.8750
P: 0.6175 0.7075 0.2651
P: 0.1175 0.1326 0.3400
P: 0.7579 0.3362 0.5355
P: 0.0955 0.4669 0.7751
P: 0.6175 0.4100 0.6174
P: 0.2421 0.7066 0.4217
P: 0.2949 0.4199 0.3750
P: 0.7580 0.6295 0.2751
P: 0.2580 0.4749 0.1205
P: 0.4045 0.1215 0.6205
P: 0.8825 0.5425 0.9849

As for the relative energy among the computed polymorphs: 0.0 kJ/mol of atoms. As for the formation energy: -0.1416 eV per atom. The value obtained for the total energy is -5.4549 eV/atom.



8.
The following is a GGA-PBEsol calculation of a relaxed Li2P crystal, from Alexandria.

Cell: 2.7363 3.8681 4.4084 Å, 116.02 108.08 90.00°
Fractional coordinates of all 3 atoms:
P: 0.0000 0.0000 0.0000
Li: 0.6592 0.6592 0.3185
Li: 0.3408 0.3408 0.6815

As for the relative energy among the computed polymorphs: 0.0 kJ/mol of atoms. As for the formation energy: -0.5681 eV per atom. The value obtained for the total energy is -3.8097 eV/atom.



9.
The following is a GGA-PBEsol calculation of a relaxed Li2P crystal, from Alexandria.

Cell: 2.7396 4.1759 7.0363 Å, 90.00 101.23 90.00°
Fractional coordinates of all 6 atoms:
P: 0.1216 0.7500 0.2432
P: 0.8784 0.2500 0.7568
Li: 0.4482 0.7500 0.8965
Li: 0.2249 0.2500 0.4498
Li: 0.7751 0.7500 0.5502
Li: 0.5518 0.2500 0.1035

As for the relative energy among the computed polymorphs: 0.7 kJ/mol of atoms. As for the formation energy: -0.5605 eV per atom. The value obtained for the total energy is -3.8022 eV/atom.



10.
The following is a GGA-PBEsol calculation of a relaxed LiP crystal, from Alexandria.

Cell: 4.2313 4.2313 7.7032 Å, 90.00 90.00 120.00°
Fractional coordinates of all 8 atoms:
Li: 0.3333 0.6667 0.4183
Li: 0.6667 0.3333 0.9183
Li: 0.3333 0.6667 0.0817
Li: 0.6667 0.3333 0.5817
P: 0.6667 0.3333 0.2500
P: 0.3333 0.6667 0.7500
P: 0.0000 0.0000 0.2500
P: 0.0000 0.0000 0.7500

As for the relative energy among the computed polymorphs: 33.3 kJ/mol of atoms. As for the formation energy: -0.1871 eV per atom. The value obtained for the total energy is -4.0662 eV/atom.



11.
The following is a GGA-PBEsol calculation of a relaxed LiP crystal, from Alexandria.

Cell: 2.6425 2.6425 9.7464 Å, 90.00 90.00 120.00°
Fractional coordinates of all 4 atoms:
P: 0.3333 0.6667 0.6590
P: 0.6667 0.3333 0.3410
Li: 0.6667 0.3333 0.8638
Li: 0.3333 0.6667 0.1362

As for the relative energy among the computed polymorphs: 62.7 kJ/mol of atoms. As for the formation energy: 0.1179 eV per atom. The value obtained for the total energy is -3.7612 eV/atom.



12.
The following is a GGA-PBEsol calculation of a relaxed Li5P crystal, from Alexandria.

Cell: 4.0762 4.0888 5.7084 Å, 69.01 90.00 90.00°
Fractional coordinates of all 6 atoms:
Li: 0.5000 0.6507 0.6985
Li: 0.5000 0.3493 0.3015
Li: 0.0000 0.1424 0.7152
Li: 0.0000 0.5000 0.0000
Li: 0.0000 0.8576 0.2848
P: 0.5000 0.0000 0.0000

As for the formation energy: -0.3793 eV per atom. The value obtained for the total energy is -2.9835 eV/atom.